This record from Alexandria describes Ca2SnS4 at its PBEsol-relaxed geometry. The functional is SCAN.

```
Ca2SnS4
1.0
-1.2258 -2.5680 -2.4815
5.4454 -4.7601 2.2361
-5.1644 1.3052 4.0726
S Ca Sn
4 2 1
direct
0.9655 0.6471 0.9310
0.0345 0.3529 0.0690
0.6638 0.0883 0.3275
0.3362 0.9117 0.6725
0.3513 0.3038 0.7026
0.6487 0.6962 0.2974
0.0000 0.0000 0.0000
```

E_form (uncorrected) = -1456 meV/atom

***

This record from Alexandria describes TaBe2Re at its PBEsol-relaxed geometry. The functional is SCAN.

```
TaBe2Re
1.0
3.0323 0.0000 0.0000
0.0000 3.0323 0.0000
0.0000 0.0000 5.2709
Ta Be Re
1 2 1
direct
0.5000 0.5000 0.5000
0.0000 0.0000 0.7904
0.0000 0.0000 0.2096
0.5000 0.5000 0.0000
```

Energy relative to the elements = -0.062 eV/atom
N(E_F) = 1.7 states/eV/cell

***

This record from Alexandria describes NaTl2Ga2 at its PBEsol-relaxed geometry. The functional is SCAN.

```
NaTl2Ga2
1.0
3.7319 0.0000 0.0000
0.0000 3.7319 0.0000
-1.8659 -1.8659 8.8013
Tl Ga Na
2 2 1
direct
0.6136 0.6136 0.2271
0.3864 0.3864 0.7729
0.2500 0.7500 0.5000
0.7500 0.2500 0.5000
0.0000 0.0000 0.0000
```

Energy relative to the elements = -0.051 eV/atom
N(E_F) = 1.6 states/eV/cell

***

Number 1: raw total energy -14.850 eV/atom. Number 2: raw total energy -36.659 eV/atom. Number 3: raw total energy -36.376 eV/atom.